# GGA-PBE TbPuSc2O8, relaxed
# **ρ**: 6.3 Mg/m³
# **VASP energy**: -8.978 eV/atom
# **Uncorrected formation energy**: -3.037 eV per atom
data_TbPuSc2O8
_symmetry_space_group_name_H-M 'C m m m'
_symmetry_Int_Tables_number 65
_symmetry_space_group_name_Hall '-C 2 2'
_cell_length_a 6.935
_cell_length_b 6.973
_cell_length_c 6.787
_cell_angle_alpha 90.00
_cell_angle_beta 90.00
_cell_angle_gamma 90.00
loop_
_atom_site_label
_atom_site_type_symbol
_atom_site_fract_x
_atom_site_fract_y
_atom_site_fract_z
Tb1 Tb 0.000 0.000 0.000
Pu1 Pu 0.000 0.000 0.500
Sc1 Sc 0.000 0.500 0.231
O1 O 0.000 0.285 0.500
O2 O 0.000 0.318 0.000
O3 O 0.195 0.000 0.275

# GGA-PBE Pu3ScTl4O12, relaxed
# **ρ**: 9.5 Mg/m³
# **VASP energy**: -8.053 eV/atom
# **Uncorrected formation energy**: -2.138 eV per atom
data_Pu3ScTl4O12
_symmetry_space_group_name_H-M 'I m -3 m'
_symmetry_Int_Tables_number 229
_symmetry_space_group_name_Hall '-I 4 2 3'
_cell_length_a 8.537
_cell_length_b 8.537
_cell_length_c 8.537
_cell_angle_alpha 90.00
_cell_angle_beta 90.00
_cell_angle_gamma 90.00
loop_
_atom_site_label
_atom_site_type_symbol
_atom_site_fract_x
_atom_site_fract_y
_atom_site_fract_z
Pu1 Pu 0.000 0.000 0.500
Sc1 Sc 0.000 0.000 0.000
Tl1 Tl 0.250 0.250 0.250
O1 O 0.000 0.000 0.259
O2 O 0.000 0.250 0.500

# GGA-PBE Pu3ScTl2O12, relaxed
# **ρ**: 6.9 Mg/m³
# **VASP energy**: -8.615 eV/atom
# **Uncorrected formation energy**: -2.306 eV per atom
data_Pu3ScTl2O12
_symmetry_space_group_name_H-M 'R -3 m'
_symmetry_Int_Tables_number 166
_symmetry_space_group_name_Hall '-R 3 2"'
_cell_length_a 7.9497
_cell_length_b 7.9497
_cell_length_c 18.1906
_cell_angle_alpha 90.00
_cell_angle_beta 90.00
_cell_angle_gamma 120.00
loop_
_atom_site_label
_atom_site_type_symbol
_atom_site_fract_x
_atom_site_fract_y
_atom_site_fract_z
Pu1 Pu 0.0000 0.5000 0.0000
Sc1 Sc 0.0000 0.0000 0.5000
Tl1 Tl 0.0000 0.0000 0.1678
O1 O 0.0787 0.5393 0.1021
O2 O 0.0908 0.5454 0.3602

# GGA-PBE Tm2PuScO8, relaxed
# **ρ**: 7.5 Mg/m³
# **VASP energy**: -8.865 eV/atom
# **Uncorrected formation energy**: -3.092 eV per atom
data_Tm2PuScO8
_symmetry_space_group_name_H-M 'C m m m'
_symmetry_Int_Tables_number 65
_symmetry_space_group_name_Hall '-C 2 2'
_cell_length_a 6.913
_cell_length_b 7.155
_cell_length_c 6.757
_cell_angle_alpha 90.00
_cell_angle_beta 90.00
_cell_angle_gamma 90.00
loop_
_atom_site_label
_atom_site_type_symbol
_atom_site_fract_x
_atom_site_fract_y
_atom_site_fract_z
Tm1 Tm 0.000 0.000 0.238
Pu1 Pu 0.000 0.500 0.500
Sc1 Sc 0.000 0.500 0.000
O1 O 0.000 0.317 0.269
O2 O 0.204 0.000 0.000
O3 O 0.212 0.000 0.500

# GGA-PBE TmPuSc2O8, relaxed
# **ρ**: 6.5 Mg/m³
# **VASP energy**: -8.990 eV/atom
# **Uncorrected formation energy**: -3.062 eV per atom
data_TmPuSc2O8
_symmetry_space_group_name_H-M 'C m m m'
_symmetry_Int_Tables_number 65
_symmetry_space_group_name_Hall '-C 2 2'
_cell_length_a 6.909
_cell_length_b 6.944
_cell_length_c 6.705
_cell_angle_alpha 90.00
_cell_angle_beta 90.00
_cell_angle_gamma 90.00
loop_
_atom_site_label
_atom_site_type_symbol
_atom_site_fract_x
_atom_site_fract_y
_atom_site_fract_z
Tm1 Tm 0.000 0.000 0.000
Pu1 Pu 0.000 0.000 0.500
Sc1 Sc 0.000 0.500 0.232
O1 O 0.000 0.193 0.271
O2 O 0.186 0.500 0.000
O3 O 0.212 0.500 0.500

# GGA-PBE PuScUO6, relaxed
# **ρ**: 8.0 Mg/m³
# **VASP energy**: -10.056 eV/atom
# **Uncorrected formation energy**: -3.201 eV per atom
data_PuScUO6
_symmetry_space_group_name_H-M 'P -3 1 c'
_symmetry_Int_Tables_number 163
_symmetry_space_group_name_Hall '-P 3 2c'
_cell_length_a 5.5859
_cell_length_b 5.5859
_cell_length_c 9.5859
_cell_angle_alpha 90.00
_cell_angle_beta 90.00
_cell_angle_gamma 120.00
loop_
_atom_site_label
_atom_site_type_symbol
_atom_site_fract_x
_atom_site_fract_y
_atom_site_fract_z
Pu1 Pu 0.0000 0.0000 0.0000
Sc1 Sc 0.3333 0.6667 0.2500
U1 U 0.3333 0.6667 0.7500
O1 O 0.0017 0.3481 0.6359